No. 1
Entry from Alexandria via LeMat-Bulk: an optimized crystal structure of Ba4HRh2 (PBE).

Results
As for the total energy: -53.38 eV for the cell shown. The calculation puts the magnetic moment at 0.0 μB per formula unit. As for the crystal system: tetragonal.

abc: 5.204 5.204 16.070
angles: 90.00 90.00 90.00
Space group I4/mmm (No. 139)
Unique sites:
Ba1 0.000 0.000 0.193 x4
Ba2 0.000 0.500 0.000 x4
H1 0.000 0.000 0.000 x2
Rh1 0.000 0.000 0.377 x4

***

No. 2
Entry from Alexandria via LeMat-Bulk: an optimized crystal structure of TlZnPb2 (PBE).

Results
As for the total energy: -10.81 eV for the cell shown. The calculation puts the magnetic moment at 0.0 μB per formula unit. For the calculated formation energy, the calculation gives 62 meV per atom. As for the crystal system: tetragonal.

abc: 3.621 3.621 8.492
angles: 90.00 90.00 90.00
Space group P4/mmm (No. 123)
Unique sites:
Tl1 0.000 0.000 0.000 x1
Zn1 0.000 0.000 0.500 x1
Pb1 0.500 0.500 0.293 x2

***

No. 3
Entry from Alexandria via LeMat-Bulk: an optimized crystal structure of B5C (PBE).

Results
As for the total energy: -158.85 eV for the cell shown. The calculation puts the magnetic moment at 0.0 μB per formula unit. For the calculated formation energy, the calculation gives 483 meV per atom. As for the crystal system: monoclinic.

abc: 10.425 3.322 5.409
angles: 90.00 101.63 90.00
Space group C2 (No. 5)
Unique sites:
B1 0.000 0.000 0.000 x2
B2 0.000 0.023 0.500 x2
B3 0.063 0.287 0.780 x4
B4 0.069 0.695 0.274 x4
B5 0.145 0.755 0.574 x4
B6 0.170 0.854 0.057 x4
C1 0.196 0.570 0.830 x4

***

No. 4
Entry from Alexandria via LeMat-Bulk: an optimized crystal structure of PdPb2F8 (PBE).

Results
As for the total energy: -97.13 eV for the cell shown. The calculation puts the magnetic moment at 0.0 μB per formula unit. Its energy relative to the elements, uncorrected is -1.9079 eV per atom. As for the crystal system: monoclinic.

abc: 10.511 7.605 4.778
angles: 90.00 101.81 90.00
Space group C2/m (No. 12)
Unique sites:
Pd1 0.000 0.000 0.000 x2
Pb1 0.151 0.500 0.821 x4
F1 0.081 0.500 0.296 x4
F2 0.113 0.180 0.881 x8
F3 0.127 0.000 0.360 x4

***

No. 5
Entry from Alexandria via LeMat-Bulk: an optimized crystal structure of RePb2Br (PBE).

Results
As for the total energy: -57.47 eV for the cell shown. The calculation puts the magnetic moment at 0.0 μB per formula unit. Its energy relative to the elements, uncorrected is 0.5955 eV per atom. As for the crystal system: trigonal.

abc: 3.5530 3.5530 27.0736
angles: 90.00 90.00 120.00
Space group R-3m (No. 166, hexagonal axes)
Unique sites:
Re1 0.0000 0.0000 0.0000 x3
Pb1 0.0000 0.0000 0.2594 x6
Br1 0.0000 0.0000 0.5000 x3

***

No. 6
Entry from Alexandria via LeMat-Bulk: an optimized crystal structure of Rb2HfTe4 (PBE).

Results
As for the total energy: -58.72 eV for the cell shown. The calculation puts the magnetic moment at 0.0 μB per formula unit. Its energy relative to the elements, uncorrected is -0.7005 eV per atom. As for the crystal system: tetragonal.

abc: 5.699 5.699 18.301
angles: 90.00 90.00 90.00
Space group I4/mmm (No. 139)
Unique sites:
Rb1 0.000 0.000 0.144 x4
Hf1 0.000 0.000 0.500 x2
Te1 0.000 0.000 0.347 x4
Te2 0.000 0.500 0.000 x4

***

No. 7
Entry from Alexandria via LeMat-Bulk: an optimized crystal structure of LaPuIr2 (PBE).

Results
As for the total energy: -155.03 eV for the cell shown. The calculation puts the magnetic moment at 4.5 μB per formula unit. For the calculated formation energy, the calculation gives -444 meV per atom. As for the crystal system: monoclinic.

abc: 5.739 5.741 12.533
angles: 90.00 112.87 90.00
Space group P2/c (No. 13)
Unique sites:
La1 0.126 0.228 0.124 x4
Pu1 0.416 0.304 0.876 x4
Ir1 0.102 0.275 0.654 x4
Ir2 0.397 0.188 0.401 x4

***

No. 8
Entry from Alexandria via LeMat-Bulk: an optimized crystal structure of CdCu2B (PBE).

Results
As for the total energy: -51.41 eV for the cell shown. The calculation puts the magnetic moment at 0.0 μB per formula unit. For the calculated formation energy, the calculation gives 733 meV per atom. As for the crystal system: cubic.

abc: 5.918 5.918 5.918
angles: 90.00 90.00 90.00
Space group Fm-3m (No. 225)
Unique sites:
Cd1 0.000 0.000 0.000 x4
Cu1 0.250 0.250 0.250 x8
B1 0.000 0.000 0.500 x4

***

No. 9
Entry from Alexandria via LeMat-Bulk: an optimized crystal structure of ZrAlV (PBE).

Results
As for the total energy: -43.60 eV for the cell shown. The calculation puts the magnetic moment at 0.0 μB per formula unit. For the calculated formation energy, the calculation gives -130 meV per atom. As for the crystal system: monoclinic.

abc: 3.053 4.708 7.421
angles: 90.00 90.16 90.00
Space group P2/m (No. 10)
Unique sites:
Zr1 0.000 0.000 0.000 x1
Zr2 0.000 0.500 0.500 x1
Al1 0.484 0.000 0.672 x2
V1 0.405 0.500 0.142 x2

***

No. 10
Entry from Alexandria via LeMat-Bulk: an optimized crystal structure of AlAuN3 (PBE).

Results
As for the total energy: -20.83 eV for the cell shown. The calculation puts the magnetic moment at 2.3 μB per formula unit. Its energy relative to the elements, uncorrected is 2.2339 eV per atom. As for the crystal system: cubic.

abc: 4.033 4.033 4.033
angles: 90.00 90.00 90.00
Space group Pm-3m (No. 221)
Unique sites:
Al1 0.000 0.000 0.000 x1
Au1 0.500 0.500 0.500 x1
N1 0.000 0.500 0.500 x3

***

No. 11
Entry from Alexandria via LeMat-Bulk: an optimized crystal structure of PrZnCd2 (PBE).

Results
As for the total energy: -8.44 eV for the cell shown. The calculation puts the magnetic moment at 0.0 μB per formula unit. For the calculated formation energy, the calculation gives -139 meV per atom. As for the crystal system: tetragonal.

abc: 3.543 3.543 7.594
angles: 90.00 90.00 90.00
Space group P4/mmm (No. 123)
Unique sites:
Pr1 0.000 0.000 0.000 x1
Zn1 0.000 0.000 0.500 x1
Cd1 0.500 0.500 0.293 x2

***

No. 12
Entry from Alexandria via LeMat-Bulk: an optimized crystal structure of ErZrBeOs (PBE).

Results
As for the total energy: -115.00 eV for the cell shown. The calculation puts the magnetic moment at 0.0 μB per formula unit. For the calculated formation energy, the calculation gives -171 meV per atom. As for the crystal system: cubic.

abc: 6.636 6.636 6.636
angles: 90.00 90.00 90.00
Space group F-43m (No. 216)
Unique sites:
Er1 0.000 0.000 0.000 x4
Zr1 0.000 0.000 0.500 x4
Be1 0.250 0.250 0.250 x4
Os1 0.250 0.250 0.750 x4

***

No. 13
Entry from Alexandria via LeMat-Bulk: an optimized crystal structure of SrGa2Fe (PBE).

Results
As for the total energy: -63.85 eV for the cell shown. The calculation puts the magnetic moment at 1.1 μB per formula unit. For the calculated formation energy, the calculation gives 59 meV per atom. As for the crystal system: tetragonal.

abc: 4.926 4.926 15.908
angles: 90.00 90.00 90.00
Space group I4_1/amd (No. 141, origin choice 2)
Unique sites:
Sr1 0.000 0.250 0.375 x4
Ga1 0.000 0.000 0.000 x8
Fe1 0.000 0.250 0.875 x4

***

No. 14
Entry from Alexandria via LeMat-Bulk: an optimized crystal structure of LiTe2RhS (PBE).

Results
As for the total energy: -16.90 eV for the cell shown. The calculation puts the magnetic moment at 0.0 μB per formula unit. Its energy relative to the elements, uncorrected is 0.5548 eV per atom. As for the crystal system: tetragonal.

abc: 5.079 5.079 4.028
angles: 90.00 90.00 90.00
Space group P4/mmm (No. 123)
Unique sites:
Li1 0.000 0.000 0.000 x1
Te1 0.000 0.500 0.000 x2
Rh1 0.500 0.500 0.500 x1
S1 0.000 0.000 0.500 x1

***

No. 15
Entry from Alexandria via LeMat-Bulk: an optimized crystal structure of Ti6MnBi2 (PBE).

Results
As for the total energy: -121.16 eV for the cell shown. The calculation puts the magnetic moment at 0.0 μB per formula unit. For the calculated formation energy, the calculation gives 413 meV per atom. As for the crystal system: tetragonal.

abc: 5.489 5.489 13.806
angles: 90.00 90.00 90.00
Space group P4_2/mnm (No. 136)
Unique sites:
Ti1 0.181 0.181 0.000 x4
Ti2 0.192 0.192 0.390 x8
Mn1 0.000 0.000 0.500 x2
Bi1 0.000 0.000 0.204 x4

***

No. 16
Entry from Alexandria via LeMat-Bulk: an optimized crystal structure of Li4Cd3Ge2 (PBE).

Results
As for the total energy: -43.19 eV for the cell shown. The calculation puts the magnetic moment at 0.0 μB per formula unit. For the calculated formation energy, the calculation gives -218 meV per atom. As for the crystal system: monoclinic.

abc: 9.297 4.246 8.736
angles: 90.00 109.71 90.00
Space group C2/m (No. 12)
Unique sites:
Li1 0.005 0.000 0.326 x4
Li2 0.160 0.500 0.887 x4
Cd1 0.000 0.000 0.000 x2
Cd2 0.162 0.500 0.555 x4
Ge1 0.181 0.500 0.222 x4

***

No. 17
Entry from Alexandria via LeMat-Bulk: an optimized crystal structure of Ho6MgAl5 (PBE).

Results
As for the total energy: -104.25 eV for the cell shown. The calculation puts the magnetic moment at 0.0 μB per formula unit. For the calculated formation energy, the calculation gives -363 meV per atom. As for the crystal system: orthorhombic.

abc: 5.116 15.382 7.158
angles: 90.00 90.00 90.00
Space group Cmmm (No. 65)
Unique sites:
Ho1 0.000 0.000 0.243 x4
Ho2 0.000 0.330 0.249 x8
Mg1 0.000 0.500 0.500 x2
Al1 0.000 0.160 0.500 x4
Al2 0.000 0.166 0.000 x4
Al3 0.000 0.500 0.000 x2

***

No. 18
Entry from Alexandria via LeMat-Bulk: an optimized crystal structure of Ce2Pu4Sb3O2 (PBE).

Results
As for the total energy: -214.06 eV for the cell shown. The calculation puts the magnetic moment at 26.6 μB per formula unit. Its energy relative to the elements, uncorrected is -1.4136 eV per atom. As for the crystal system: tetragonal.

abc: 4.689 4.689 25.974
angles: 90.00 90.00 90.00
Space group I4/mmm (No. 139)
Unique sites:
Ce1 0.000 0.000 0.196 x4
Pu1 0.000 0.500 0.084 x8
Sb1 0.000 0.000 0.324 x4
Sb2 0.000 0.000 0.500 x2
O1 0.000 0.000 0.107 x4

***

No. 19
Entry from Alexandria via LeMat-Bulk: an optimized crystal structure of CrNi2Ru (PBE).

Results
As for the total energy: -114.45 eV for the cell shown. The calculation puts the magnetic moment at 0.0 μB per formula unit. For the calculated formation energy, the calculation gives 462 meV per atom. As for the crystal system: tetragonal.

abc: 3.439 3.439 17.270
angles: 90.00 90.00 90.00
Space group I-42d (No. 122)
Unique sites:
Cr1 0.000 0.000 0.000 x4
Ni1 0.246 0.250 0.125 x8
Ru1 0.000 0.000 0.500 x4

***

No. 20
Entry from Alexandria via LeMat-Bulk: an optimized crystal structure of BaZr2 (PBE).

Results
As for the total energy: -71.17 eV for the cell shown. The calculation puts the magnetic moment at 0.0 μB per formula unit. For the calculated formation energy, the calculation gives 409 meV per atom. As for the crystal system: monoclinic.

abc: 15.737 3.367 7.496
angles: 90.00 106.92 90.00
Space group C2/m (No. 12)
Unique sites:
Ba1 0.038 0.000 0.295 x4
Zr1 0.170 0.500 0.009 x4
Zr2 0.225 0.500 0.654 x4